No. 1
Th5AuS4 PBE optimized geometry; total DFT energy (no corrections) = -7.2537 eV/atom
1.0
4.019 0.000 -0.775
-0.299 5.576 -1.548
0.029 0.031 10.953
Th S Au
5 4 1
direct
0.608 0.108 0.216
0.199 0.699 0.397
0.801 0.301 0.603
0.000 0.500 0.000
0.392 0.892 0.784
0.400 0.400 0.801
0.600 0.600 0.199
0.796 0.796 0.592
0.204 0.204 0.408
0.000 0.000 0.000

=====

No. 2
Th2AuS PBE optimized geometry; distance to the lowest polymorph of the same formula = 0.000 eV per atom; total DFT energy (no corrections) = -6.6907 eV/atom
1.0
4.007 0.000 0.000
2.004 3.471 0.000
0.000 0.000 7.474
Au S Th
1 1 2
direct
0.000 0.000 0.500
0.000 0.000 0.000
0.667 0.667 0.230
0.333 0.333 0.770

=====

> The highest total DFT energy (no corrections) belongs to which entry?

Th2AuS

=====

> What is the total DFT energy (no corrections) in the second record?

-6.6907 eV/atom

=====

> total DFT energy (no corrections) of number 2 (Th2AuS)?

-6.6907 eV/atom